A plane-wave DFT calculation with GGA-PBE was carried out for crystalline Cu2CSeBr at its relaxed geometry.

Values from the calculation:
theoretical density	5.4	g/cm³
total magnetic moment	0.1427	μB per atom
formation energy from raw total energies	1.15	eV/atom

Cell lengths 4.783, 4.783, 4.006 Å; angles 90.00, 90.00, 90.00 degrees
Space group P4/mmm (No. 123)
Unique sites:
1 Cu 0.000 0.500 0.000 (multiplicity 2)
2 C 0.000 0.000 0.500 (multiplicity 1)
3 Se 0.000 0.000 0.000 (multiplicity 1)
4 Br 0.500 0.500 0.500 (multiplicity 1)

A plane-wave DFT calculation with GGA-PBE was carried out for crystalline CuCSe2Br at its relaxed geometry.

Values from the calculation:
theoretical density	4.0	g/cm³
total magnetic moment	0.0000	μB per atom
energy relative to the lowest polymorph listed for this composition	0	meV per atom
formation energy from raw total energies	1.13	eV/atom

Cell lengths 4.091, 4.091, 7.802 Å; angles 90.00, 90.00, 90.00 degrees
Space group P4/mmm (No. 123)
Unique sites:
1 Cu 0.000 0.000 0.000 (multiplicity 1)
2 C 0.500 0.500 0.500 (multiplicity 1)
3 Se 0.000 0.500 0.500 (multiplicity 2)
4 Br 0.500 0.500 0.000 (multiplicity 1)

A plane-wave DFT calculation with GGA-PBE was carried out for crystalline CuCSe2Br at its relaxed geometry.

Values from the calculation:
theoretical density	4.6	g/cm³
total magnetic moment	0.0623	μB per atom
energy relative to the lowest polymorph listed for this composition	570	meV per atom
formation energy from raw total energies	1.70	eV/atom

Cell lengths 4.806, 4.806, 4.865 Å; angles 90.00, 90.00, 90.00 degrees
Space group P4/mmm (No. 123)
Unique sites:
1 Cu 0.000 0.000 0.000 (multiplicity 1)
2 C 0.500 0.500 0.500 (multiplicity 1)
3 Se 0.000 0.500 0.000 (multiplicity 2)
4 Br 0.000 0.000 0.500 (multiplicity 1)

A plane-wave DFT calculation with GGA-PBE was carried out for crystalline VCu2CBr at its relaxed geometry.

Values from the calculation:
theoretical density	6.5	g/cm³
total magnetic moment	0.3945	μB per atom
formation energy from raw total energies	0.40	eV/atom

Cell lengths 4.028, 4.028, 4.251 Å; angles 90.00, 90.00, 90.00 degrees
Space group P4/mmm (No. 123)
Unique sites:
1 V 0.000 0.000 0.000 (multiplicity 1)
2 Cu 0.000 0.500 0.500 (multiplicity 2)
3 C 0.000 0.000 0.500 (multiplicity 1)
4 Br 0.500 0.500 0.000 (multiplicity 1)

A plane-wave DFT calculation with GGA-PBE was carried out for crystalline YCuC2Br at its relaxed geometry.

Values from the calculation:
theoretical density	2.9	g/cm³
total magnetic moment	0.1110	μB per atom
formation energy from raw total energies	2.07	eV/atom

Cell lengths 4.277, 4.277, 7.892 Å; angles 90.00, 90.00, 90.00 degrees
Space group P4/mmm (No. 123)
Unique sites:
1 Y 0.000 0.000 0.000 (multiplicity 1)
2 Cu 0.000 0.000 0.500 (multiplicity 1)
3 C 0.000 0.500 0.000 (multiplicity 2)
4 Br 0.500 0.500 0.500 (multiplicity 1)

A plane-wave DFT calculation with GGA-PBE was carried out for crystalline Dy2CBr at its relaxed geometry.

Values from the calculation:
theoretical density	8.3	g/cm³
total magnetic moment	0.0001	μB per atom
formation energy from raw total energies	-0.95	eV/atom

Cell lengths 3.6757, 3.6757, 21.4111 Å; angles 90.00, 90.00, 120.00 degrees
Space group R3m (No. 160, hexagonal axes)
Unique sites:
1 Dy 0.0000 0.0000 0.0000 (multiplicity 3)
2 Dy 0.0000 0.0000 0.2137 (multiplicity 3)
3 C 0.0000 0.0000 0.6086 (multiplicity 3)
4 Br 0.0000 0.0000 0.4394 (multiplicity 3)

A plane-wave DFT calculation with GGA-PBE was carried out for crystalline Dy3C2Br2 at its relaxed geometry.

Values from the calculation:
theoretical density	7.0	g/cm³
total magnetic moment	0.1247	μB per atom
formation energy from raw total energies	-0.75	eV/atom

Cell lengths 3.596, 6.313, 7.426 Å; angles 81.36, 90.00, 73.56 degrees
Space group P-1 (No. 2)
Unique sites:
1 Dy 0.000 0.000 0.000 (multiplicity 1)
2 Dy 0.229 0.542 0.797 (multiplicity 2)
3 C 0.365 0.271 0.064 (multiplicity 2)
4 Br 0.122 0.757 0.381 (multiplicity 2)

A plane-wave DFT calculation with GGA-PBE was carried out for crystalline Dy7CBr12 at its relaxed geometry.

Values from the calculation:
theoretical density	6.0	g/cm³
total magnetic moment	0.0194	μB per atom
formation energy from raw total energies	-1.58	eV/atom

Cell lengths 14.4874, 14.4874, 9.7074 Å; angles 90.00, 90.00, 120.00 degrees
Space group R-3 (No. 148, hexagonal axes)
Unique sites:
1 Dy 0.0000 0.0000 0.0000 (multiplicity 3)
2 Dy 0.0431 0.8869 0.3547 (multiplicity 18)
3 C 0.0000 0.0000 0.5000 (multiplicity 3)
4 Br 0.0240 0.4380 0.1643 (multiplicity 18)
5 Br 0.0509 0.8680 0.8366 (multiplicity 18)

A plane-wave DFT calculation with GGA-PBE was carried out for crystalline Dy3CBr3 at its relaxed geometry.

Values from the calculation:
theoretical density	7.0	g/cm³
total magnetic moment	0.0000	μB per atom
formation energy from raw total energies	-1.31	eV/atom

Cell lengths 8.268, 3.776, 11.228 Å; angles 90.00, 92.22, 90.00 degrees
Space group P2_1/m (No. 11)
Unique sites:
1 Dy 0.086 0.250 0.395 (multiplicity 2)
2 Dy 0.118 0.250 0.829 (multiplicity 2)
3 Dy 0.308 0.750 0.619 (multiplicity 2)
4 C 0.122 0.250 0.619 (multiplicity 2)
5 Br 0.137 0.250 0.125 (multiplicity 2)
6 Br 0.375 0.750 0.873 (multiplicity 2)
7 Br 0.381 0.750 0.369 (multiplicity 2)

A plane-wave DFT calculation with GGA-PBE was carried out for crystalline DyErCBr at its relaxed geometry.

Values from the calculation:
theoretical density	8.5	g/cm³
total magnetic moment	0.0001	μB per atom
formation energy from raw total energies	-0.95	eV/atom

Cell lengths 3.6605, 3.6605, 21.2676 Å; angles 90.00, 90.00, 120.00 degrees
Space group R3m (No. 160, hexagonal axes)
Unique sites:
1 Dy 0.0000 0.0000 0.0000 (multiplicity 3)
2 Er 0.0000 0.0000 0.2141 (multiplicity 3)
3 C 0.0000 0.0000 0.6038 (multiplicity 3)
4 Br 0.0000 0.0000 0.7752 (multiplicity 3)

A plane-wave DFT calculation with GGA-PBE was carried out for crystalline Dy6HC2Br3 at its relaxed geometry.

Values from the calculation:
theoretical density	8.2	g/cm³
total magnetic moment	0.0000	μB per atom
VASP energy	-5.34	eV/atom

Cell lengths 6.398, 11.056, 7.420 Å; angles 90.00, 106.89, 90.00 degrees
Space group C2/m (No. 12)
Unique sites:
1 Dy 0.211 0.000 0.184 (multiplicity 4)
2 Dy 0.234 0.326 0.182 (multiplicity 8)
3 H 0.000 0.500 0.000 (multiplicity 2)
4 C 0.000 0.166 0.000 (multiplicity 4)
5 Br 0.000 0.000 0.500 (multiplicity 2)
6 Br 0.000 0.332 0.500 (multiplicity 4)

A plane-wave DFT calculation with GGA-PBE was carried out for crystalline Dy6C2Br3N at its relaxed geometry.

Values from the calculation:
theoretical density	8.5	g/cm³
total magnetic moment	0.0000	μB per atom
formation energy from raw total energies	-1.12	eV/atom

Cell lengths 6.327, 10.959, 7.380 Å; angles 90.00, 106.61, 90.00 degrees
Space group C2/m (No. 12)
Unique sites:
1 Dy 0.225 0.166 0.177 (multiplicity 8)
2 Dy 0.228 0.500 0.178 (multiplicity 4)
3 C 0.000 0.333 0.000 (multiplicity 4)
4 Br 0.000 0.168 0.500 (multiplicity 4)
5 Br 0.000 0.500 0.500 (multiplicity 2)
6 N 0.000 0.000 0.000 (multiplicity 2)